Crystalline LaZnW at its relaxed geometry, computed with PBE.

Cell: 5.839 5.839 5.839 Å, 144.98 144.98 50.37°
Positions (direct):
La  0.996  0.996  0.000
Zn  0.708  0.708  0.000
W  0.295  0.295  0.000

Output
The calculation puts the density of states at the Fermi level at 3.43 states/eV/cell. The value obtained for the energy above the most stable polymorph in this dataset is 0.0350 eV per atom. As for the formation enthalpy at 0 K: 492 meV/atom. Its space-group type is I4mm.